a | Compound: Hf2Pb2Se
Source: Alexandria
Functional: PBE
Structure: optimized geometry

Cell and atoms, written as extended XYZ:
```
5
Lattice="-3.8884 -3.8694 -0.3193 2.7116 -3.0299 3.6960 -2.9425 -1.3674 5.1223" Properties=species:S:1:pos:R:3 pbc="T T T"
Pb -1.3346 -2.7896 2.7768
Pb -2.7847 -5.4770 5.7222
Hf -3.7096 -4.3432 3.2457
Hf -0.4097 -3.9235 5.2534
Se 0.0000 0.0000 0.0000
```

## Properties
space group	I4/mmm
theoretical density	10.046	g/cm³
magnetization	0.000	μB/f.u.

b | Compound: Hf2Pb2Se
Source: Alexandria
Functional: PBE
Structure: optimized geometry

Cell and atoms, written as extended XYZ:
```
10
Lattice="-2.8891 -7.6636 0.3817 1.5550 -0.1854 8.0480 -3.4629 1.3403 0.6999" Properties=species:S:1:pos:R:3 pbc="T T T"
Pb 0.3340 -2.7020 6.8264
Pb -1.3670 -6.5032 5.6903
Pb -1.6681 -5.1470 1.6033
Pb 0.0328 -1.3457 2.7394
Hf -1.1258 -0.4334 5.4597
Hf -2.1934 -4.3102 7.6014
Hf -3.6712 -6.0751 3.6699
Hf -2.6036 -2.1984 1.5282
Se 0.0000 0.0000 0.0000
Se -0.6671 -3.9245 4.2148
```

## Properties
space group	P4/mbm
theoretical density	11.118	g/cm³
magnetization	0.000	μB/f.u.

Bottom line: b, by a margin of 13.5 kJ/mol of atoms.

a | Compound: Hf2Pb2Se
Source: Alexandria
Functional: PBE
Structure: optimized geometry

Cell and atoms, written as extended XYZ:
```
5
Lattice="4.1691 0.0000 0.0000 0.0000 4.1691 0.0000 2.0845 2.0845 7.4059" Properties=species:S:1:pos:R:3 pbc="T T T"
Pb 4.1691 2.0845 3.7030
Pb 2.0845 4.1691 3.7030
Hf 2.0845 2.0845 1.4434
Hf 4.1691 4.1691 5.9625
Se 0.0000 0.0000 0.0000
```

## Properties
space group	I4/mmm
theoretical density	10.969	g/cm³
magnetization	0.000	μB/f.u.

b | Compound: Hf2Pb2Se
Source: Alexandria
Functional: PBE
Structure: optimized geometry

Cell and atoms, written as extended XYZ:
```
10
Lattice="-1.9413 -2.7606 6.1708 -5.0676 -3.6550 -3.2294 3.1061 -3.7053 -0.6805" Properties=species:S:1:pos:R:3 pbc="T T T"
Pb -2.1225 -4.7253 -1.4758
Pb -3.9760 -6.7423 1.0471
Pb -1.7803 -5.3957 3.7367
Pb 0.0731 -3.3787 1.2138
Hf -4.9802 -4.0667 -0.5880
Hf -4.9471 -4.7231 3.1370
Hf -2.0288 -2.3489 3.5294
Hf -2.0618 -1.6925 -0.1956
Se 0.0000 0.0000 0.0000
Se -3.5045 -3.2078 1.4707
```

## Properties
space group	P4/mbm
theoretical density	11.692	g/cm³
magnetization	0.000	μB/f.u.

Bottom line: b, by a margin of 42.8 kJ/mol of atoms.

a | Compound: Hf3PbSe
Source: Alexandria
Functional: PBE
Structure: optimized geometry

Cell and atoms, written as extended XYZ:
```
10
Lattice="-0.4498 -0.0023 -3.4021 -5.5201 -3.5119 -1.0007 -5.5287 8.4836 0.7254" Properties=species:S:1:pos:R:3 pbc="T T T"
Hf -7.9264 3.4806 -2.4184
Hf -2.9603 0.5499 -1.3392
Hf -5.7738 0.1774 -2.7009
Hf -6.3368 5.7310 -0.8962
Hf -10.8495 5.1032 -0.2940
Hf -3.4134 4.1081 -3.0208
Pb -8.9535 6.5088 -2.2815
Pb -5.3096 2.7024 -1.0331
Se -4.5964 6.3604 -2.8580
Se -1.8321 2.1186 -3.2207
```

## Properties
space group	P2_1/m
theoretical density	12.254	g/cm³
magnetization	0.000	μB/f.u.

b | Compound: Hf3PbSe
Source: Alexandria
Functional: PBE
Structure: optimized geometry

Cell and atoms, written as extended XYZ:
```
5
Lattice="5.3377 0.0000 0.0000 0.0000 5.3377 0.0000 0.0000 0.0000 5.3377" Properties=species:S:1:pos:R:3 pbc="T T T"
Pb 0.0000 0.0000 0.0000
Hf 0.0000 2.6689 0.0000
Hf 0.0000 0.0000 2.6689
Hf 2.6689 0.0000 0.0000
Se 2.6689 2.6689 2.6689
```

## Properties
space group	Pm-3m
theoretical density	8.971	g/cm³
magnetization	0.000	μB/f.u.

c | Compound: Hf3PbSe
Source: Alexandria
Functional: PBE
Structure: optimized geometry

Cell and atoms, written as extended XYZ:
```
5
Lattice="-1.0901 4.2716 2.3034 -4.2585 0.2904 -2.5538 -2.3277 -2.5317 3.5935" Properties=species:S:1:pos:R:3 pbc="T T T"
Pb -3.8381 1.0151 1.6715
Hf -2.1292 0.1452 -1.2769
Hf -1.1638 -1.2659 1.7967
Hf -0.5450 2.1358 1.1517
Se 0.0000 0.0000 0.0000
```

## Properties
space group	Pm-3m
theoretical density	11.087	g/cm³
magnetization	0.000	μB/f.u.

Bottom line: a, by a margin of 49.0 kJ/mol of atoms.

a | Compound: Hf2SiPb
Source: Alexandria
Functional: PBE
Structure: optimized geometry

Cell and atoms, written as extended XYZ:
```
4
Lattice="-3.4727 1.2841 -0.0363 -2.6551 -1.8917 -1.7555 -3.5051 -3.9798 5.6848" Properties=species:S:1:pos:R:3 pbc="T T T"
Pb -4.8164 -2.2937 1.9465
Si 0.0000 0.0000 0.0000
Hf -2.3326 -0.9516 0.6485
Hf -7.3002 -3.6357 3.2444
```

## Properties
space group	R-3m
theoretical density	11.082	g/cm³
magnetization	0.000	μB/f.u.

b | Compound: Hf2SiPb
Source: Alexandria
Functional: PBE
Structure: optimized geometry

Cell and atoms, written as extended XYZ:
```
8
Lattice="7.6041 0.0000 0.0000 0.0000 7.6041 0.0000 3.8020 3.8020 3.0498" Properties=species:S:1:pos:R:3 pbc="T T T"
Pb 0.0000 0.0000 0.0000
Pb 7.6041 3.8020 1.5249
Si 3.8020 3.8020 0.0000
Si 3.8020 7.6041 1.5249
Hf 5.4902 1.9010 0.7625
Hf 2.1139 5.7031 0.7625
Hf 5.7031 5.9159 2.2874
Hf 9.5051 9.2922 2.2874
```

## Properties
space group	I-42d
theoretical density	11.154	g/cm³
magnetization	0.000	μB/f.u.

Bottom line: a, by a margin of 24.4 kJ/mol of atoms.

a | Compound: Hf2SnPb
Source: Alexandria
Functional: PBE
Structure: optimized geometry

Cell and atoms, written as extended XYZ:
```
4
Lattice="4.3004 0.0000 0.0000 0.0000 4.6083 0.0000 0.0000 0.0000 4.6083" Properties=species:S:1:pos:R:3 pbc="T T T"
Pb 2.1502 0.0000 0.0000
Hf 0.0000 0.0000 2.3042
Hf 0.0000 2.3042 0.0000
Sn 2.1502 2.3042 2.3042
```

## Properties
space group	P4/mmm
theoretical density	12.417	g/cm³
magnetization	0.000	μB/f.u.

b | Compound: Hf2SnPb
Source: Alexandria
Functional: PBE
Structure: optimized geometry

Cell and atoms, written as extended XYZ:
```
8
Lattice="7.9458 0.0000 0.0000 0.0000 7.9458 0.0000 3.9729 3.9729 3.1313" Properties=species:S:1:pos:R:3 pbc="T T T"
Pb 0.0000 0.0000 0.0000
Pb 7.9458 3.9729 1.5656
Hf 5.9263 1.9865 0.7828
Hf 2.0195 5.9594 0.7828
Hf 5.9594 5.9925 2.3485
Hf 9.9323 9.8992 2.3485
Sn 3.9729 3.9729 0.0000
Sn 3.9729 7.9458 1.5656
```

## Properties
space group	I-42d
theoretical density	11.472	g/cm³
magnetization	0.000	μB/f.u.

c | Compound: Hf2SnPb
Source: Alexandria
Functional: PBE
Structure: optimized geometry

Cell and atoms, written as extended XYZ:
```
4
Lattice="0.0000 3.5795 3.5795 3.5795 0.0000 3.5795 3.5795 3.5795 0.0000" Properties=species:S:1:pos:R:3 pbc="T T T"
Pb 3.5795 3.5795 3.5795
Hf 1.7897 1.7897 1.7897
Hf 5.3692 5.3692 5.3692
Sn 0.0000 0.0000 0.0000
```

## Properties
space group	Fm-3m
theoretical density	12.363	g/cm³
magnetization	0.000	μB/f.u.

Bottom line: a, by a margin of 12.4 kJ/mol of atoms.

a | Compound: Hf2SnPb
Source: Alexandria
Functional: PBE
Structure: optimized geometry

Cell and atoms, written as extended XYZ:
```
4
Lattice="3.8007 0.0000 0.0000 1.9004 3.2915 0.0000 1.9004 1.0972 7.9724" Properties=species:S:1:pos:R:3 pbc="T T T"
Hf 1.9004 1.0972 6.1414
Hf 1.9004 1.0972 1.8287
Sn 5.7011 3.2915 7.9509
Pb 3.8007 2.1944 4.0101
```

## Properties
space group	R3m
theoretical density	11.370	g/cm³
magnetization	0.000	μB/f.u.

b | Compound: Hf2SnPb
Source: Alexandria
Functional: PBE
Structure: optimized geometry

Cell and atoms, written as extended XYZ:
```
4
Lattice="3.2652 0.0000 0.0000 0.0000 3.2652 0.0000 0.0000 0.0000 8.5769" Properties=species:S:1:pos:R:3 pbc="T T T"
Pb 1.6326 1.6326 4.2884
Hf 0.0000 0.0000 6.5266
Hf 0.0000 0.0000 2.0503
Sn 1.6326 1.6326 0.0000
```

## Properties
space group	P4/mmm
theoretical density	12.401	g/cm³
magnetization	0.000	μB/f.u.

c | Compound: Hf2SnPb
Source: Alexandria
Functional: PBE
Structure: optimized geometry

Cell and atoms, written as extended XYZ:
```
4
Lattice="4.1486 0.0000 0.0000 2.0743 3.5928 0.0000 2.0743 1.1976 6.7532" Properties=species:S:1:pos:R:3 pbc="T T T"
Pb 4.1486 2.3952 3.3766
Hf 2.0743 1.1976 1.6455
Hf 6.2229 3.5928 5.1077
Sn 0.0000 0.0000 0.0000
```

## Properties
space group	R-3m
theoretical density	11.266	g/cm³
magnetization	0.000	μB/f.u.

Bottom line: b, by a margin of 10.7 kJ/mol of atoms.